1.
A geometry-optimized PuNpReTc structure, computed with PBE.

Lattice parameters (Å, degrees): 6.499 6.499 6.499 90.00 90.00 90.00
Space group F-43m (No. 216)
Unique sites:
Pu1 0.000 0.000 0.000 x4
Np1 0.250 0.250 0.250 x4
Re1 0.250 0.250 0.750 x4
Tc1 0.000 0.000 0.500 x4

Output
The calculated total energy comes out at -12.3326 eV per atom. Its formation energy is 18.25 kJ per mole of atoms.

2.
A geometry-optimized AgHgSe2N structure, computed with PBE.

Lattice parameters (Å, degrees): 5.448 5.448 4.127 90.00 90.00 90.00
Space group P4/mmm (No. 123)
Unique sites:
Ag1 0.000 0.000 0.000 x1
Hg1 0.500 0.500 0.500 x1
Se1 0.000 0.500 0.500 x2
N1 0.500 0.500 0.000 x1

Output
The energy above the lowest structure with this stoichiometry comes out at 0.81 eV per formula unit. The formation energy (no corrections) is 1.26 eV/atom. The calculated total energy comes out at -2.4326 eV per atom.

3.
A geometry-optimized TaCr2Au structure, computed with PBE.

Lattice parameters (Å, degrees): 3.138 4.455 8.587 90.00 90.00 90.00
Space group Cmm2 (No. 35)
Unique sites:
Ta1 0.000 0.000 0.000 x2
Cr1 0.000 0.000 0.549 x2
Cr2 0.000 0.500 0.749 x2
Au1 0.000 0.500 0.283 x2

Output
The energy above the lowest structure with this stoichiometry comes out at 0.58 eV per formula unit. The calculated total energy comes out at -8.3705 eV per atom. Its formation energy is 21.58 kJ per mole of atoms.

no.,density of states at the Fermi level (states/eV/f.u.)
1,8.44
2,2.72
3,2.89